VASP calculation (PBE) on a relaxed structure of Hg2HBrO2.

```
data_Hg2HBrO2
_space_group_name_H-M_alt 'C m c 21'
_space_group_IT_number 36
_space_group_name_Hall 'C 2c -2'
_cell_length_a 8.809
_cell_length_b 7.148
_cell_length_c 8.019
_cell_angle_alpha 90.00
_cell_angle_beta 90.00
_cell_angle_gamma 90.00
loop_
_atom_site_label
_atom_site_fract_x
_atom_site_fract_y
_atom_site_fract_z
Hg1 0.244 0.182 0.000
H1 0.000 0.438 0.991
Br1 0.000 0.057 0.693
O1 0.136 0.437 0.989
```

Summary:
VASP energy: -3.07 eV per atom

VASP calculation (PBE) on a relaxed structure of AcNd2Ho.

```
data_AcNd2Ho
_space_group_name_H-M_alt 'I -4 m 2'
_space_group_IT_number 119
_space_group_name_Hall 'I -4 -2'
_cell_length_a 6.141
_cell_length_b 6.141
_cell_length_c 7.731
_cell_angle_alpha 90.00
_cell_angle_beta 90.00
_cell_angle_gamma 90.00
loop_
_atom_site_label
_atom_site_fract_x
_atom_site_fract_y
_atom_site_fract_z
Ac1 0.000 0.000 0.000
Nd1 0.000 0.000 0.500
Nd2 0.000 0.500 0.750
Ho1 0.000 0.500 0.250
```

Summary:
E above lowest polymorph: 84 meV/atom
VASP energy: -4.44 eV per atom

VASP calculation (PBE) on a relaxed structure of K2CdFe.

```
data_K2CdFe
_space_group_name_H-M_alt 'C m m m'
_space_group_IT_number 65
_space_group_name_Hall '-C 2 2'
_cell_length_a 6.907
_cell_length_b 10.382
_cell_length_c 3.705
_cell_angle_alpha 90.00
_cell_angle_beta 90.00
_cell_angle_gamma 90.00
loop_
_atom_site_label
_atom_site_fract_x
_atom_site_fract_y
_atom_site_fract_z
K1 0.250 0.250 0.000
Cd1 0.000 0.000 0.500
Fe1 0.000 0.500 0.500
```

Summary:
VASP energy: -2.15 eV per atom